(1)
Dy8Ga3Co, PBEsol geometry, DFT meta-GGA SCAN; energy of formation from the pure elements = -0.463 eV per atom
1.0
6.753 0.000 0.000
0.000 9.865 0.000
0.000 -4.933 8.543
Dy Ga Co
16 6 2
direct
0.991 0.173 0.827 Dy
0.991 0.173 0.345 Dy
0.991 0.655 0.827 Dy
0.491 0.827 0.173 Dy
0.491 0.827 0.655 Dy
0.491 0.345 0.173 Dy
0.671 0.333 0.667 Dy
0.171 0.667 0.333 Dy
0.291 0.464 0.536 Dy
0.291 0.464 0.928 Dy
0.291 0.072 0.536 Dy
0.791 0.536 0.464 Dy
0.791 0.536 0.072 Dy
0.791 0.928 0.464 Dy
0.271 0.000 0.000 Dy
0.771 0.000 0.000 Dy
0.539 0.164 0.836 Ga
0.539 0.164 0.327 Ga
0.539 0.673 0.836 Ga
0.039 0.836 0.164 Ga
0.039 0.836 0.673 Ga
0.039 0.327 0.164 Ga
0.058 0.333 0.667 Co
0.558 0.667 0.333 Co


(2)
DyGa6Co6, PBEsol geometry, DFT meta-GGA SCAN; energy of formation from the pure elements = -0.285 eV per atom
1.0
-1.444 -1.994 -4.297
-1.187 -6.227 0.435
-6.317 -0.127 -0.672
Dy Ga Co
1 6 6
direct
0.000 0.000 0.000 Dy
0.656 0.344 0.344 Ga
0.344 0.656 0.656 Ga
0.000 0.341 0.659 Ga
0.000 0.659 0.341 Ga
0.316 0.184 0.184 Ga
0.684 0.816 0.816 Ga
0.500 0.760 0.240 Co
0.500 0.240 0.760 Co
0.000 0.500 0.000 Co
0.500 0.000 0.500 Co
0.000 0.000 0.500 Co
0.500 0.500 0.000 Co


(3)
Dy3GaCoS7, PBEsol geometry, DFT meta-GGA SCAN; formation energy (no corrections) = -164.01 kJ per mole of atoms
1.0
-4.711 -3.145 -2.157
5.303 -7.699 -0.357
-4.863 1.975 7.744
Dy Ga Co S
6 2 2 14
direct
0.674 0.626 0.838 Dy
0.674 0.162 0.788 Dy
0.674 0.212 0.374 Dy
0.174 0.374 0.162 Dy
0.174 0.838 0.212 Dy
0.174 0.788 0.626 Dy
0.600 0.667 0.333 Ga
0.100 0.333 0.667 Ga
0.015 0.000 0.000 Co
0.515 0.000 0.000 Co
0.947 0.478 0.559 S
0.947 0.441 0.919 S
0.947 0.081 0.522 S
0.447 0.522 0.441 S
0.447 0.559 0.081 S
0.447 0.919 0.478 S
0.967 0.667 0.333 S
0.467 0.333 0.667 S
0.768 0.901 0.125 S
0.768 0.875 0.776 S
0.768 0.224 0.099 S
0.268 0.099 0.875 S
0.268 0.125 0.224 S
0.268 0.776 0.901 S


(4)
DyCoGe, PBEsol geometry, DFT meta-GGA SCAN; energy of formation from the pure elements = -0.663 eV per atom
1.0
4.202 0.000 0.000
0.000 6.857 0.000
0.000 0.000 6.921
Ge Co Dy
4 4 4
direct
0.750 0.200 0.106 Ge
0.750 0.700 0.394 Ge
0.250 0.800 0.894 Ge
0.250 0.300 0.606 Ge
0.750 0.851 0.066 Co
0.750 0.351 0.434 Co
0.250 0.649 0.566 Co
0.250 0.149 0.934 Co
0.250 0.483 0.192 Dy
0.750 0.017 0.692 Dy
0.250 0.983 0.308 Dy
0.750 0.517 0.808 Dy


(5)
Dy2Co3Ge5, PBEsol geometry, DFT meta-GGA SCAN; energy of formation from the pure elements = -0.612 eV per atom
1.0
-3.376 4.382 1.062
2.850 -2.870 6.864
7.090 2.660 -2.477
Dy Co Ge
4 6 10
direct
0.267 0.128 0.408 Dy
0.233 0.592 0.872 Dy
0.767 0.408 0.128 Dy
0.733 0.872 0.592 Dy
0.250 0.996 0.004 Co
0.750 0.004 0.996 Co
0.378 0.544 0.264 Co
0.878 0.264 0.544 Co
0.622 0.456 0.736 Co
0.122 0.736 0.456 Co
0.250 0.489 0.511 Ge
0.750 0.511 0.489 Ge
0.250 0.228 0.772 Ge
0.750 0.772 0.228 Ge
0.174 0.262 0.079 Ge
0.326 0.921 0.738 Ge
0.750 0.213 0.787 Ge
0.250 0.787 0.213 Ge
0.674 0.079 0.262 Ge
0.826 0.738 0.921 Ge


(6)
DyInCo2, PBEsol geometry, DFT meta-GGA SCAN; energy of formation from the pure elements = -0.297 eV per atom
1.0
-2.147 -2.263 2.393
2.587 -3.959 -1.423
4.577 1.130 5.175
Dy In Co
2 2 4
direct
0.500 0.750 0.277 Dy
0.500 0.250 0.723 Dy
0.000 0.750 0.650 In
0.000 0.250 0.350 In
0.000 0.500 0.000 Co
0.000 0.000 0.000 Co
0.500 0.750 0.908 Co
0.500 0.250 0.092 Co


(7)
Dy13Mg7Co4, PBEsol geometry, DFT meta-GGA SCAN; energy of formation from the pure elements = -0.104 eV per atom
1.0
-3.548 -8.558 1.026
1.530 -6.454 -6.549
5.673 -7.170 1.812
Dy Mg Co
13 7 4
direct
0.189 0.189 0.812 Dy
0.812 0.189 0.189 Dy
0.189 0.812 0.189 Dy
0.810 0.810 0.188 Dy
0.188 0.810 0.810 Dy
0.810 0.188 0.810 Dy
0.344 0.344 0.344 Dy
0.340 0.970 0.340 Dy
0.970 0.340 0.340 Dy
0.340 0.340 0.970 Dy
0.560 0.560 0.943 Dy
0.943 0.560 0.560 Dy
0.560 0.943 0.560 Dy
0.580 0.580 0.580 Mg
0.584 0.256 0.584 Mg
0.256 0.584 0.584 Mg
0.584 0.584 0.256 Mg
0.937 0.937 0.559 Mg
0.559 0.937 0.937 Mg
0.937 0.559 0.937 Mg
0.140 0.140 0.140 Co
0.142 0.584 0.142 Co
0.584 0.142 0.142 Co
0.142 0.142 0.584 Co


(8)
Dy4MgCo, PBEsol geometry, DFT meta-GGA SCAN; energy of formation from the pure elements = -0.120 eV per atom
1.0
-4.272 -7.123 -4.400
-5.807 -5.657 4.756
-9.255 0.341 -1.607
Dy Mg Co
16 4 4
direct
0.814 0.186 0.186 Dy
0.186 0.814 0.814 Dy
0.814 0.814 0.186 Dy
0.186 0.186 0.814 Dy
0.186 0.814 0.186 Dy
0.814 0.186 0.814 Dy
0.438 0.062 0.062 Dy
0.062 0.438 0.438 Dy
0.438 0.438 0.062 Dy
0.062 0.062 0.438 Dy
0.062 0.438 0.062 Dy
0.438 0.062 0.438 Dy
0.656 0.656 0.032 Dy
0.032 0.656 0.656 Dy
0.656 0.656 0.656 Dy
0.656 0.032 0.656 Dy
0.420 0.420 0.739 Mg
0.739 0.420 0.420 Mg
0.420 0.420 0.420 Mg
0.420 0.739 0.420 Mg
0.859 0.859 0.423 Co
0.423 0.859 0.859 Co
0.859 0.859 0.859 Co
0.859 0.423 0.859 Co


(9)
Dy4Mg3Co2, PBEsol geometry, DFT meta-GGA SCAN; energy of formation from the pure elements = -0.134 eV per atom
1.0
-3.527 -0.596 -0.690
1.651 -6.707 -2.644
-1.469 -0.450 7.902
Dy Mg Co
4 3 2
direct
0.500 0.098 0.226 Dy
0.500 0.902 0.774 Dy
0.500 0.601 0.325 Dy
0.500 0.399 0.675 Dy
0.000 0.292 0.000 Mg
0.000 0.708 0.000 Mg
0.000 0.000 0.500 Mg
0.000 0.350 0.391 Co
0.000 0.650 0.609 Co


(10)
DyCoNi, PBEsol geometry, DFT meta-GGA SCAN; energy of formation from the pure elements = -0.289 eV per atom
1.0
4.861 0.000 0.000
-2.431 4.355 0.009
0.000 -2.860 4.081
Ni Co Dy
2 2 2
direct
0.500 0.000 0.500 Ni
0.500 0.000 0.000 Ni
0.000 0.500 0.000 Co
0.500 0.500 0.000 Co
0.123 0.245 0.373 Dy
0.877 0.755 0.627 Dy


(11)
DyCoO3, PBEsol geometry, DFT meta-GGA SCAN; formation energy (no corrections) = -263.58 kJ per mole of atoms
1.0
-4.131 2.565 1.400
-2.930 -4.570 -0.275
1.510 -1.389 7.000
Dy Co O
4 4 12
direct
0.523 0.576 0.250 Dy
0.977 0.076 0.250 Dy
0.477 0.424 0.750 Dy
0.023 0.924 0.750 Dy
0.000 0.500 0.000 Co
0.500 0.000 0.500 Co
0.000 0.500 0.500 Co
0.500 0.000 0.000 Co
0.401 0.974 0.250 O
0.099 0.474 0.250 O
0.599 0.026 0.750 O
0.901 0.526 0.750 O
0.810 0.802 0.049 O
0.690 0.302 0.451 O
0.190 0.198 0.549 O
0.310 0.698 0.951 O
0.190 0.198 0.951 O
0.310 0.698 0.549 O
0.810 0.802 0.451 O
0.690 0.302 0.049 O


(12)
DyCoSi2Rh, PBEsol geometry, DFT meta-GGA SCAN; formation energy (no corrections) = -96.08 kJ per mole of atoms
1.0
3.915 0.000 0.000
0.000 3.915 0.000
-1.957 -1.957 4.909
Co Si Rh Dy
1 2 1 1
direct
0.750 0.250 0.500 Co
0.376 0.376 0.753 Si
0.624 0.624 0.247 Si
0.250 0.750 0.500 Rh
0.000 0.000 0.000 Dy


(13)
Dy5CoSb2, PBEsol geometry, DFT meta-GGA SCAN; formation energy (no corrections) = -72.12 kJ per mole of atoms
1.0
-0.417 6.108 -4.723
-8.156 1.380 2.505
3.913 7.097 8.832
Dy Co Sb
20 4 8
direct
0.847 0.250 0.203 Dy
0.653 0.250 0.703 Dy
0.153 0.750 0.797 Dy
0.347 0.750 0.297 Dy
0.545 0.250 0.998 Dy
0.955 0.250 0.498 Dy
0.455 0.750 0.002 Dy
0.045 0.750 0.502 Dy
0.378 0.250 0.306 Dy
0.122 0.250 0.806 Dy
0.622 0.750 0.694 Dy
0.878 0.750 0.194 Dy
0.179 0.464 0.064 Dy
0.321 0.036 0.564 Dy
0.821 0.964 0.936 Dy
0.679 0.536 0.436 Dy
0.821 0.536 0.936 Dy
0.679 0.964 0.436 Dy
0.179 0.036 0.064 Dy
0.321 0.464 0.564 Dy
0.569 0.250 0.489 Co
0.931 0.250 0.989 Co
0.431 0.750 0.511 Co
0.069 0.750 0.011 Co
0.073 0.492 0.327 Sb
0.427 0.008 0.827 Sb
0.927 0.992 0.673 Sb
0.573 0.508 0.173 Sb
0.927 0.508 0.673 Sb
0.573 0.992 0.173 Sb
0.073 0.008 0.327 Sb
0.427 0.492 0.827 Sb


(14)
Dy2CoSi2, PBEsol geometry, DFT meta-GGA SCAN; formation energy (no corrections) = -71.82 kJ per mole of atoms
1.0
-1.182 0.948 -3.794
0.487 -4.330 -3.433
-8.553 -2.199 -0.085
Si Co Dy
4 2 4
direct
0.004 0.865 0.128 Si
0.847 0.738 0.567 Si
0.996 0.135 0.872 Si
0.153 0.262 0.433 Si
0.227 0.926 0.620 Co
0.773 0.074 0.380 Co
0.686 0.732 0.895 Dy
0.502 0.668 0.328 Dy
0.314 0.268 0.105 Dy
0.498 0.332 0.672 Dy


(15)
DyCoSi2, PBEsol geometry, DFT meta-GGA SCAN; formation energy (no corrections) = -73.13 kJ per mole of atoms
1.0
-2.359 -1.605 2.722
3.167 -1.500 1.860
2.149 5.935 5.360
Si Co Dy
4 2 2
direct
0.750 0.250 0.500 Si
0.250 0.750 0.500 Si
0.250 0.457 0.085 Si
0.750 0.543 0.915 Si
0.250 0.321 0.358 Co
0.750 0.679 0.642 Co
0.750 0.892 0.215 Dy
0.250 0.108 0.785 Dy


(16)
DyCo2Si2, PBEsol geometry, DFT meta-GGA SCAN; formation energy (no corrections) = -75.49 kJ per mole of atoms
1.0
-0.739 -2.061 3.141
0.804 -3.214 -1.920
4.593 3.001 0.717
Si Co Dy
2 2 1
direct
0.372 0.372 0.743 Si
0.628 0.628 0.257 Si
0.250 0.750 0.500 Co
0.750 0.250 0.500 Co
0.000 0.000 0.000 Dy


(17)
Dy3Co2Si3, PBEsol geometry, DFT meta-GGA SCAN; formation energy (no corrections) = -67.75 kJ per mole of atoms
1.0
-4.042 0.087 0.074
2.065 -2.061 4.704
0.361 12.320 5.240
Dy Co Si
6 4 6
direct
0.363 0.727 0.250 Dy
0.637 0.273 0.750 Dy
0.081 0.162 0.388 Dy
0.919 0.838 0.612 Dy
0.919 0.838 0.888 Dy
0.081 0.162 0.112 Dy
0.215 0.431 0.921 Co
0.785 0.569 0.079 Co
0.785 0.569 0.421 Co
0.215 0.431 0.579 Co
0.671 0.342 0.250 Si
0.329 0.658 0.750 Si
0.380 0.761 0.460 Si
0.620 0.239 0.540 Si
0.620 0.239 0.960 Si
0.380 0.761 0.040 Si


(18)
Dy2Co3Si5, PBEsol geometry, DFT meta-GGA SCAN; formation energy (no corrections) = -70.67 kJ per mole of atoms
1.0
5.426 0.000 0.000
-2.546 7.329 -0.011
-2.546 -1.380 7.198
Dy Co Si
4 6 10
direct
0.236 0.597 0.870 Dy
0.264 0.130 0.403 Dy
0.764 0.403 0.130 Dy
0.736 0.870 0.597 Dy
0.873 0.264 0.540 Co
0.750 0.003 0.997 Co
0.373 0.540 0.264 Co
0.127 0.736 0.460 Co
0.627 0.460 0.736 Co
0.250 0.997 0.003 Co
0.250 0.229 0.771 Si
0.750 0.771 0.229 Si
0.250 0.488 0.512 Si
0.750 0.512 0.488 Si
0.250 0.787 0.213 Si
0.750 0.213 0.787 Si
0.166 0.263 0.066 Si
0.666 0.066 0.263 Si
0.834 0.737 0.934 Si
0.334 0.934 0.737 Si


no.,spin magnetization (μB/f.u.),total energy (eV per atom),ρ (g cm⁻³)
1,0.00,-37.86,9.15
2,4.84,-19.49,9.16
3,1.00,-22.07,6.08
4,0.00,-28.73,9.79
5,0.94,-24.91,9.22
6,2.83,-29.24,9.65
7,0.00,-30.33,7.26
8,0.13,-35.70,8.29
9,0.88,-26.88,6.85
10,1.04,-27.38,10.75
11,0.00,-19.49,8.92
12,0.00,-24.78,8.40
13,0.00,-42.10,9.24
14,0.06,-27.33,8.08
15,0.00,-22.04,7.33
16,0.00,-21.27,7.90
17,0.00,-26.71,8.21
18,0.62,-20.49,7.45